# 1
Na2Sb4Pt3Rh after structural relaxation. Source: Alexandria, functional PBE.

Values from the calculation:
ΔE_f (raw) = -40.81 kJ per mole of atoms
Volume = 23.0 A^3/atom
Crystal system = tetragonal
Theoretical density = 8.82 g/cm³
DOS(E_F) = 5.23 states/eV per cell

Cell lengths 4.6478, 4.6478, 10.6421 Å; angles 90.00, 90.00, 90.00 degrees
Last column: nearest neighbours and their distance in Å.
Space group P-4m2 (No. 115)
Inequivalent atoms, fractional coordinates:
Na1 0.0000 0.5000 0.2330 (multiplicity 2)  2 Rh 3.40, 6 Pt 3.40-3.60, 9 Sb 3.49-3.78
Sb1 0.0000 0.0000 0.5000 (multiplicity 1)  4 Pt 2.70
Sb2 0.0000 0.5000 0.8775 (multiplicity 2)  3 Pt 2.64-2.66, 2 Rh 2.66
Sb3 0.5000 0.5000 0.5000 (multiplicity 1)  4 Pt 2.70
Pt1 0.0000 0.0000 0.0000 (multiplicity 1)  4 Sb 2.66
Pt2 0.0000 0.5000 0.6295 (multiplicity 2)  5 Sb 2.64-2.70
Rh1 0.5000 0.5000 0.0000 (multiplicity 1)  4 Sb 2.66

---

# 2
CaTh2Ni6 after structural relaxation. Source: Alexandria, functional PBE.

Values from the calculation:
Volume = 18.2 A^3/atom
E above lowest polymorph = 0 meV/atom
Crystal system = hexagonal
Energy of formation = -2.874 eV/f.u.
Theoretical density = 8.68 g/cm³
DOS(E_F) = 10.98 states/eV per cell

Cell lengths 7.1012, 7.1012, 3.7529 Å; angles 90.00, 90.00, 120.00 degrees
Last column: nearest neighbours and their distance in Å.
Space group P6/mmm (No. 191)
Inequivalent atoms, fractional coordinates:
Ca1 0.0000 0.0000 0.0000 (multiplicity 1)  12 Ni 3.04
Th1 0.3333 0.6667 0.0000 (multiplicity 2)  12 Ni 3.01
Ni1 0.0000 0.3362 0.5000 (multiplicity 6)  3 Ni 2.33-2.39

---

# 3
Tc2OsCl after structural relaxation. Source: Alexandria, functional PBE.

Values from the calculation:
ΔE_f (raw) = 96.03 kJ per mole of atoms
Volume = 20.4 A^3/atom
E above lowest polymorph = 709 meV/atom
Crystal system = tetragonal
Theoretical density = 8.59 g/cm³
DOS(E_F) = 22.90 states/eV per cell

Cell lengths 5.5926, 5.5926, 10.4197 Å; angles 90.00, 90.00, 90.00 degrees
Last column: nearest neighbours and their distance in Å.
Space group I-42d (No. 122)
Inequivalent atoms, fractional coordinates:
Tc1 0.2460 0.2500 0.1250 (multiplicity 8)  2 Cl 2.35, 2 Os 2.38
Os1 0.0000 0.0000 0.5000 (multiplicity 4)  4 Tc 2.38
Cl1 0.0000 0.0000 0.0000 (multiplicity 4)  4 Tc 2.35

---

What is the formula in the first record?
Na2Sb4Pt3Rh